# Rb2BaCl GGA-PBE optimized geometry
# Final energy (eV/atom): -2.25
# Volume (Å³ per atom): 58.13
# E_form (uncorrected) (eV per atom): -0.83
# Offset from the most stable computed form (meV/atom): 0
data_Rb2BaCl
_space_group_name_H-M_alt 'R -3 m'
_space_group_IT_number 166
_space_group_name_Hall '-R 3 2"'
_cell_length_a 4.5585
_cell_length_b 4.5585
_cell_length_c 38.7637
_cell_angle_alpha 90.00
_cell_angle_beta 90.00
_cell_angle_gamma 120.00
loop_
_atom_site_label
_atom_site_type_symbol
_atom_site_fract_x
_atom_site_fract_y
_atom_site_fract_z
_atom_site_occupancy
Rb1 Rb 0.0000 0.0000 0.1142 1
Ba1 Ba 0.0000 0.0000 0.0000 1
Cl1 Cl 0.0000 0.0000 0.5000 1